SrInN2F: optimized geometry, PBE.

It has space group P4/mmm (No. 123), with a = 4.228 Å, b = 4.228 Å, c = 4.501 Å, α = 90.00°, β = 90.00° and γ = 90.00°. The inequivalent atoms are Sr at (0.000, 0.000, 0.000), In at (0.500, 0.500, 0.500), N at (0.000, 0.500, 0.500) and F at (0.500, 0.500, 0.000).

For the energy relative to the elements, uncorrected, the calculation gives -438 meV per atom.

---

Cs2MgW: optimized geometry, PBE.

It has space group Fm-3m (No. 225), with a = 9.272 Å, b = 9.272 Å, c = 9.272 Å, α = 90.00°, β = 90.00° and γ = 90.00°. The inequivalent atoms are Cs at (0.250, 0.250, 0.250), Mg at (0.000, 0.000, 0.000) and W at (0.000, 0.000, 0.500).

As for the energy of formation: 1.665 eV per atom.

---

LaSi2Ag4: optimized geometry, PBE.

It has space group Cmmm (No. 65), with a = 4.324 Å, b = 14.531 Å, c = 4.334 Å, α = 90.00°, β = 90.00° and γ = 90.00°. The inequivalent atoms are La at (0.000, 0.000, 0.000), Si at (0.000, 0.419, 0.500), Ag at (0.000, 0.180, 0.500) and Ag at (0.000, 0.320, 0.000).

For the energy relative to the elements, uncorrected, the calculation gives -293 meV per atom.

---

TaAl3P: optimized geometry, PBE.

It has space group Pm-3m (No. 221), with a = 5.034 Å, b = 5.034 Å, c = 5.034 Å, α = 90.00°, β = 90.00° and γ = 90.00°. The inequivalent atoms are Ta at (0.000, 0.000, 0.000), Al at (0.000, 0.000, 0.500) and P at (0.500, 0.500, 0.500).

As for the energy of formation: 1.289 eV per atom.

---

PmAl2Sb: optimized geometry, PBE.

It has space group P4/mmm (No. 123), with a = 4.565 Å, b = 4.565 Å, c = 4.418 Å, α = 90.00°, β = 90.00° and γ = 90.00°. The inequivalent atoms are Pm at (0.000, 0.000, 0.000), Al at (0.000, 0.500, 0.500) and Sb at (0.500, 0.500, 0.000).

For the energy relative to the elements, uncorrected, the calculation gives -394 meV per atom.

---

PaAl2Ni5: optimized geometry, PBE.

It has space group Immm (No. 71), with a = 3.857 Å, b = 5.136 Å, c = 11.633 Å, α = 90.00°, β = 90.00° and γ = 90.00°. The inequivalent atoms are Pa at (0.000, 0.000, 0.000), Al at (0.000, 0.500, 0.217), Ni at (0.000, 0.236, 0.389) and Ni at (0.000, 0.500, 0.000).

As for the energy of formation: -0.424 eV per atom.

---

> What is the formula in the second record?

Cs2MgW